Entry 1:
# Cr3RuPt SCAN PBEsol geometry
data_Cr3RuPt
_symmetry_space_group_name_H-M 'P 1'
_symmetry_Int_Tables_number 1
_cell_length_a 4.4603
_cell_length_b 4.4603
_cell_length_c 4.4603
_cell_angle_alpha 90.00
_cell_angle_beta 90.00
_cell_angle_gamma 90.00
loop_
_symmetry_equiv_pos_as_xyz
'x,y,z'
loop_
_atom_site_label
_atom_site_type_symbol
_atom_site_fract_x
_atom_site_fract_y
_atom_site_fract_z
Ru1 Ru 0.0000 0.0000 0.0000
Pt1 Pt 0.5000 0.5000 0.5000
Cr1 Cr 0.0000 0.5000 0.0000
Cr2 Cr 0.0000 0.0000 0.5000
Cr3 Cr 0.5000 0.0000 0.0000
# - Magnetic moment: 1.92 μB/atom
# - DFT formation energy: 1.064 eV per atom
# - Total energy: -1.1382 hartree per atom


Entry 2:
# Cr2RuPt SCAN PBEsol geometry
data_Cr2RuPt
_symmetry_space_group_name_H-M 'P 1'
_symmetry_Int_Tables_number 1
_cell_length_a 3.1174
_cell_length_b 3.1174
_cell_length_c 5.3739
_cell_angle_alpha 90.00
_cell_angle_beta 90.00
_cell_angle_gamma 90.00
loop_
_symmetry_equiv_pos_as_xyz
'x,y,z'
loop_
_atom_site_label
_atom_site_type_symbol
_atom_site_fract_x
_atom_site_fract_y
_atom_site_fract_z
Cr1 Cr 0.0000 0.0000 0.7156
Cr2 Cr 0.0000 0.0000 0.2844
Pt1 Pt 0.5000 0.5000 0.0000
Ru1 Ru 0.5000 0.5000 0.5000
# - Magnetic moment: 0.00 μB/atom
# - DFT formation energy: 0.121 eV per atom
# - Total energy: -1.2982 hartree per atom


Entry 3:
# Cr4RuPt SCAN PBEsol geometry
data_Cr4RuPt
_symmetry_space_group_name_H-M 'P 1'
_symmetry_Int_Tables_number 1
_cell_length_a 4.6770
_cell_length_b 4.6770
_cell_length_c 4.6770
_cell_angle_alpha 60.00
_cell_angle_beta 60.00
_cell_angle_gamma 60.00
loop_
_symmetry_equiv_pos_as_xyz
'x,y,z'
loop_
_atom_site_label
_atom_site_type_symbol
_atom_site_fract_x
_atom_site_fract_y
_atom_site_fract_z
Ru1 Ru 0.0000 0.0000 0.0000
Pt1 Pt 0.7500 0.7500 0.7500
Cr1 Cr 0.3763 0.3763 0.3763
Cr2 Cr 0.3763 0.3763 0.8711
Cr3 Cr 0.8711 0.3763 0.3763
Cr4 Cr 0.3763 0.8711 0.3763
# - Magnetic moment: 0.00 μB/atom
# - DFT formation energy: -0.091 eV per atom
# - Total energy: -1.0970 hartree per atom


Entry 4:
# CrRu2Pt SCAN PBEsol geometry
data_CrRu2Pt
_symmetry_space_group_name_H-M 'P 1'
_symmetry_Int_Tables_number 1
_cell_length_a 3.7733
_cell_length_b 3.7733
_cell_length_c 4.5694
_cell_angle_alpha 114.39
_cell_angle_beta 114.39
_cell_angle_gamma 90.00
loop_
_symmetry_equiv_pos_as_xyz
'x,y,z'
loop_
_atom_site_label
_atom_site_type_symbol
_atom_site_fract_x
_atom_site_fract_y
_atom_site_fract_z
Cr1 Cr 0.0000 0.0000 0.0000
Pt1 Pt 0.5000 0.5000 0.0000
Ru1 Ru 0.7500 0.2500 0.5000
Ru2 Ru 0.2500 0.7500 0.5000
# - Magnetic moment: 0.25 μB/atom
# - DFT formation energy: -0.067 eV per atom
# - Total energy: -1.4562 hartree per atom


Entry 5:
# CrPt3S SCAN PBEsol geometry
data_CrPt3S
_symmetry_space_group_name_H-M 'P 1'
_symmetry_Int_Tables_number 1
_cell_length_a 4.4356
_cell_length_b 4.4356
_cell_length_c 4.4356
_cell_angle_alpha 90.00
_cell_angle_beta 90.00
_cell_angle_gamma 90.00
loop_
_symmetry_equiv_pos_as_xyz
'x,y,z'
loop_
_atom_site_label
_atom_site_type_symbol
_atom_site_fract_x
_atom_site_fract_y
_atom_site_fract_z
Cr1 Cr 0.5000 0.5000 0.5000
S1 S 0.0000 0.0000 0.0000
Pt1 Pt 0.0000 0.5000 0.0000
Pt2 Pt 0.0000 0.0000 0.5000
Pt3 Pt 0.5000 0.0000 0.0000
# - Magnetic moment: 0.88 μB/atom
# - Formation energy without anion corrections: 0.32 eV per atom
# - Total energy: -1.7420 hartree per atom


Entry 6:
# CrSbPt2 SCAN PBEsol geometry
data_CrSbPt2
_symmetry_space_group_name_H-M 'P 1'
_symmetry_Int_Tables_number 1
_cell_length_a 3.6894
_cell_length_b 4.2222
_cell_length_c 4.2222
_cell_angle_alpha 98.55
_cell_angle_beta 90.00
_cell_angle_gamma 90.00
loop_
_symmetry_equiv_pos_as_xyz
'x,y,z'
loop_
_atom_site_label
_atom_site_type_symbol
_atom_site_fract_x
_atom_site_fract_y
_atom_site_fract_z
Cr1 Cr 0.5000 0.5000 0.5000
Pt1 Pt 0.0000 0.5000 0.0000
Pt2 Pt 0.0000 0.0000 0.5000
Sb1 Sb 0.5000 0.0000 0.0000
# - Magnetic moment: 0.86 μB/atom
# - Formation energy without anion corrections: -0.31 eV per atom
# - Total energy: -1.8124 hartree per atom


Entry 7:
# CrSbPt2 SCAN PBEsol geometry
data_CrSbPt2
_symmetry_space_group_name_H-M 'P 1'
_symmetry_Int_Tables_number 1
_cell_length_a 4.0487
_cell_length_b 3.9556
_cell_length_c 3.9556
_cell_angle_alpha 90.00
_cell_angle_beta 90.00
_cell_angle_gamma 90.00
loop_
_symmetry_equiv_pos_as_xyz
'x,y,z'
loop_
_atom_site_label
_atom_site_type_symbol
_atom_site_fract_x
_atom_site_fract_y
_atom_site_fract_z
Cr1 Cr 0.5000 0.0000 0.0000
Pt1 Pt 0.0001 0.5000 0.0000
Pt2 Pt 0.9999 0.0000 0.5000
Sb1 Sb 0.5000 0.5000 0.5000
# - Magnetic moment: 0.83 μB/atom
# - Formation energy without anion corrections: -0.28 eV per atom
# - Total energy: -1.8112 hartree per atom


Entry 8:
# CrSbPt2 SCAN PBEsol geometry
data_CrSbPt2
_symmetry_space_group_name_H-M 'P 1'
_symmetry_Int_Tables_number 1
_cell_length_a 3.5076
_cell_length_b 3.5076
_cell_length_c 5.4496
_cell_angle_alpha 90.00
_cell_angle_beta 90.00
_cell_angle_gamma 90.00
loop_
_symmetry_equiv_pos_as_xyz
'x,y,z'
loop_
_atom_site_label
_atom_site_type_symbol
_atom_site_fract_x
_atom_site_fract_y
_atom_site_fract_z
Cr1 Cr 0.5000 0.5000 0.7861
Pt1 Pt 0.0000 0.0000 0.9721
Pt2 Pt 0.5000 0.5000 0.2653
Sb1 Sb 0.0000 0.0000 0.4765
# - Magnetic moment: 0.93 μB/atom
# - Formation energy without anion corrections: -0.21 eV per atom
# - Total energy: -1.8089 hartree per atom


Entry 9:
# CrSbPt2 SCAN PBEsol geometry
data_CrSbPt2
_symmetry_space_group_name_H-M 'P 1'
_symmetry_Int_Tables_number 1
_cell_length_a 3.9889
_cell_length_b 3.9889
_cell_length_c 4.9172
_cell_angle_alpha 113.93
_cell_angle_beta 113.93
_cell_angle_gamma 90.00
loop_
_symmetry_equiv_pos_as_xyz
'x,y,z'
loop_
_atom_site_label
_atom_site_type_symbol
_atom_site_fract_x
_atom_site_fract_y
_atom_site_fract_z
Cr1 Cr 0.5000 0.5000 0.0000
Pt1 Pt 0.7500 0.2500 0.5000
Pt2 Pt 0.2500 0.7500 0.5000
Sb1 Sb 0.0000 0.0000 0.0000
# - Magnetic moment: 1.00 μB/atom
# - Formation energy without anion corrections: -0.25 eV per atom
# - Total energy: -1.8101 hartree per atom


Entry 10:
# ScCrPt2 SCAN PBEsol geometry
data_ScCrPt2
_symmetry_space_group_name_H-M 'P 1'
_symmetry_Int_Tables_number 1
_cell_length_a 2.8270
_cell_length_b 2.8270
_cell_length_c 7.5835
_cell_angle_alpha 90.00
_cell_angle_beta 90.00
_cell_angle_gamma 90.00
loop_
_symmetry_equiv_pos_as_xyz
'x,y,z'
loop_
_atom_site_label
_atom_site_type_symbol
_atom_site_fract_x
_atom_site_fract_y
_atom_site_fract_z
Cr1 Cr 0.5000 0.5000 0.7708
Pt1 Pt 0.0000 0.0000 0.9747
Pt2 Pt 0.5000 0.5000 0.2480
Sc1 Sc 0.0000 0.0000 0.5065
# - Magnetic moment: 0.29 μB/atom
# - DFT formation energy: -0.364 eV per atom
# - Total energy: -1.6029 hartree per atom


Entry 11:
# ScCrPt2 SCAN PBEsol geometry
data_ScCrPt2
_symmetry_space_group_name_H-M 'P 1'
_symmetry_Int_Tables_number 1
_cell_length_a 4.4770
_cell_length_b 4.4770
_cell_length_c 4.4770
_cell_angle_alpha 60.00
_cell_angle_beta 60.00
_cell_angle_gamma 60.00
loop_
_symmetry_equiv_pos_as_xyz
'x,y,z'
loop_
_atom_site_label
_atom_site_type_symbol
_atom_site_fract_x
_atom_site_fract_y
_atom_site_fract_z
Cr1 Cr 0.0000 0.0000 0.0000
Pt1 Pt 0.2500 0.2500 0.2500
Pt2 Pt 0.7500 0.7500 0.7500
Sc1 Sc 0.5000 0.5000 0.5000
# - Magnetic moment: 1.03 μB/atom
# - DFT formation energy: -0.919 eV per atom
# - Total energy: -1.6233 hartree per atom


Entry 12:
# ScCrPt3 SCAN PBEsol geometry
data_ScCrPt3
_symmetry_space_group_name_H-M 'P 1'
_symmetry_Int_Tables_number 1
_cell_length_a 4.6937
_cell_length_b 4.6937
_cell_length_c 4.6937
_cell_angle_alpha 90.00
_cell_angle_beta 90.00
_cell_angle_gamma 90.00
loop_
_symmetry_equiv_pos_as_xyz
'x,y,z'
loop_
_atom_site_label
_atom_site_type_symbol
_atom_site_fract_x
_atom_site_fract_y
_atom_site_fract_z
Sc1 Sc 0.0000 0.0000 0.0000
Cr1 Cr 0.5000 0.5000 0.5000
Pt1 Pt 0.0000 0.5000 0.0000
Pt2 Pt 0.0000 0.0000 0.5000
Pt3 Pt 0.5000 0.0000 0.0000
# - Magnetic moment: 0.90 μB/atom
# - DFT formation energy: 0.651 eV per atom
# - Total energy: -1.7636 hartree per atom


Entry 13:
# ScCrPt2 SCAN PBEsol geometry
data_ScCrPt2
_symmetry_space_group_name_H-M 'P 1'
_symmetry_Int_Tables_number 1
_cell_length_a 3.4194
_cell_length_b 3.4194
_cell_length_c 5.5614
_cell_angle_alpha 90.00
_cell_angle_beta 90.00
_cell_angle_gamma 90.00
loop_
_symmetry_equiv_pos_as_xyz
'x,y,z'
loop_
_atom_site_label
_atom_site_type_symbol
_atom_site_fract_x
_atom_site_fract_y
_atom_site_fract_z
Cr1 Cr 0.5000 0.5000 0.7984
Pt1 Pt 0.0000 0.0000 0.9584
Pt2 Pt 0.5000 0.5000 0.2673
Sc1 Sc 0.0000 0.0000 0.4759
# - Magnetic moment: 0.81 μB/atom
# - DFT formation energy: -0.765 eV per atom
# - Total energy: -1.6176 hartree per atom


Entry 14:
# Cr2PtSe SCAN PBEsol geometry
data_Cr2PtSe
_symmetry_space_group_name_H-M 'P 1'
_symmetry_Int_Tables_number 1
_cell_length_a 4.3802
_cell_length_b 4.3802
_cell_length_c 4.3802
_cell_angle_alpha 60.00
_cell_angle_beta 60.00
_cell_angle_gamma 60.00
loop_
_symmetry_equiv_pos_as_xyz
'x,y,z'
loop_
_atom_site_label
_atom_site_type_symbol
_atom_site_fract_x
_atom_site_fract_y
_atom_site_fract_z
Cr1 Cr 0.0000 0.0000 0.0000
Cr2 Cr 0.7500 0.7500 0.7500
Pt1 Pt 0.5000 0.5000 0.5000
Se1 Se 0.2500 0.2500 0.2500
# - Magnetic moment: 0.08 μB/atom
# - Formation energy without anion corrections: 0.08 eV per atom
# - Total energy: -1.1641 hartree per atom


Entry 15:
# Cr2PtSe SCAN PBEsol geometry
data_Cr2PtSe
_symmetry_space_group_name_H-M 'P 1'
_symmetry_Int_Tables_number 1
_cell_length_a 3.0182
_cell_length_b 4.4159
_cell_length_c 4.4159
_cell_angle_alpha 104.53
_cell_angle_beta 90.00
_cell_angle_gamma 90.00
loop_
_symmetry_equiv_pos_as_xyz
'x,y,z'
loop_
_atom_site_label
_atom_site_type_symbol
_atom_site_fract_x
_atom_site_fract_y
_atom_site_fract_z
Cr1 Cr 0.0000 0.5000 0.0000
Cr2 Cr 0.0000 0.0000 0.5000
Pt1 Pt 0.5000 0.0000 0.0000
Se1 Se 0.5000 0.5000 0.5000
# - Magnetic moment: 1.48 μB/atom
# - Formation energy without anion corrections: -0.08 eV per atom
# - Total energy: -1.1702 hartree per atom